Material: K2Ga2I7
Method: DFT, PBE-GGA
State: optimized geometry

a = 9.1706 Å, b = 9.1706 Å, c = 7.1012 Å
α = 97.79°, β = 97.79°, γ = 100.67°
Atoms (fractional coordinates):
K (0.2069, 0.7931, 0.0000)
K (0.7931, 0.2069, 0.0000)
Ga (0.2794, 0.2794, 0.5856)
Ga (0.7206, 0.7206, 0.4144)
I (0.0994, 0.4103, 0.7861)
I (0.1138, 0.1138, 0.2662)
I (0.4103, 0.0994, 0.7861)
I (0.5000, 0.5000, 0.5000)
I (0.5897, 0.9006, 0.2139)
I (0.8862, 0.8862, 0.7338)
I (0.9006, 0.5897, 0.2139)

Summary:
- Calculated volume: 52.136 A^3/atom
- Uncorrected formation energy: -8.70 eV per formula unit
- Symmetry: C2/m
- Density: 3.20 g/cm³
- VASP energy: -27.803 eV per formula unit

Material: KGa2I8
Method: DFT, PBE-GGA
State: optimized geometry

a = 8.4824 Å, b = 8.4824 Å, c = 9.7398 Å
α = 90.00°, β = 90.00°, γ = 120.00°
Atoms (fractional coordinates):
K (0.0000, 0.0000, 0.0000)
Ga (0.3333, 0.6667, 0.3573)
Ga (0.6667, 0.3333, 0.6427)
I (0.1651, 0.3303, 0.2790)
I (0.1651, 0.8349, 0.2790)
I (0.3303, 0.1651, 0.7210)
I (0.3333, 0.6667, 0.6228)
I (0.6667, 0.3333, 0.3772)
I (0.6697, 0.8349, 0.2790)
I (0.8349, 0.1651, 0.7210)
I (0.8349, 0.6697, 0.7210)

Summary:
- Calculated volume: 55.173 A^3/atom
- Uncorrected formation energy: -5.83 eV per formula unit
- Symmetry: P-3m1
- Density: 3.27 g/cm³
- VASP energy: -25.381 eV per formula unit

Material: K2GaI5
Method: DFT, PBE-GGA
State: optimized geometry

a = 13.0721 Å, b = 14.8540 Å, c = 9.9438 Å
α = 90.00°, β = 90.00°, γ = 90.00°
Atoms (fractional coordinates):
K (0.0000, 0.0000, 0.2285)
K (0.0000, 0.0000, 0.7715)
K (0.1139, 0.3152, 0.0000)
K (0.3861, 0.8152, 0.5000)
K (0.5000, 0.5000, 0.2715)
K (0.5000, 0.5000, 0.7285)
K (0.6139, 0.1848, 0.5000)
K (0.8861, 0.6848, 0.0000)
Ga (0.2494, 0.7188, 0.0000)
Ga (0.2506, 0.2188, 0.5000)
Ga (0.7494, 0.7812, 0.5000)
Ga (0.7506, 0.2812, 0.0000)
I (0.0600, 0.1696, 0.5000)
I (0.1322, 0.5763, 0.0000)
I (0.1516, 0.0966, 0.0000)
I (0.2079, 0.8131, 0.2118)
I (0.2079, 0.8131, 0.7882)
I (0.2921, 0.3131, 0.2882)
I (0.2921, 0.3131, 0.7118)
I (0.3484, 0.5966, 0.5000)
I (0.3678, 0.0763, 0.5000)
I (0.4400, 0.6696, 0.0000)
I (0.5600, 0.3304, 0.0000)
I (0.6322, 0.9237, 0.5000)
I (0.6516, 0.4034, 0.5000)
I (0.7079, 0.6869, 0.2882)
I (0.7079, 0.6869, 0.7118)
I (0.7921, 0.1869, 0.2118)
I (0.7921, 0.1869, 0.7882)
I (0.8484, 0.9034, 0.0000)
I (0.8678, 0.4237, 0.0000)
I (0.9400, 0.8304, 0.5000)

Summary:
- Calculated volume: 60.338 A^3/atom
- Uncorrected formation energy: -7.52 eV per formula unit
- Symmetry: Pnnm
- Density: 2.69 g/cm³
- VASP energy: -20.497 eV per formula unit

Material: KGa2I
Method: DFT, PBE-GGA
State: optimized geometry

a = 5.7011 Å, b = 5.7011 Å, c = 5.7011 Å
α = 60.00°, β = 60.00°, γ = 60.00°
Atoms (fractional coordinates):
K (0.0000, 0.0000, 0.0000)
Ga (0.2500, 0.2500, 0.2500)
Ga (0.7500, 0.7500, 0.7500)
I (0.5000, 0.5000, 0.5000)

Summary:
- Calculated volume: 32.757 A^3/atom
- Uncorrected formation energy: 0.46 eV per formula unit
- Symmetry: Fm-3m
- Density: 3.87 g/cm³
- VASP energy: -8.241 eV per formula unit

Material: KGa3I4
Method: DFT, PBE-GGA
State: optimized geometry

a = 8.3123 Å, b = 9.5923 Å, c = 8.3073 Å
α = 90.00°, β = 109.63°, γ = 90.00°
Atoms (fractional coordinates):
K (0.0000, 0.1278, 0.2500)
K (0.0000, 0.8722, 0.7500)
Ga (0.0000, 0.3766, 0.7500)
Ga (0.0000, 0.6234, 0.2500)
Ga (0.5000, 0.1289, 0.7500)
Ga (0.5000, 0.3756, 0.2500)
Ga (0.5000, 0.6244, 0.7500)
Ga (0.5000, 0.8711, 0.2500)
I (0.2546, 0.3830, 0.5086)
I (0.2546, 0.6170, 0.0086)
I (0.2628, 0.1314, 0.9972)
I (0.2628, 0.8686, 0.4972)
I (0.7372, 0.1314, 0.5028)
I (0.7372, 0.8686, 0.0028)
I (0.7454, 0.3830, 0.9914)
I (0.7454, 0.6170, 0.4914)

Summary:
- Calculated volume: 38.992 A^3/atom
- Uncorrected formation energy: -4.93 eV per formula unit
- Symmetry: P2/c
- Density: 4.02 g/cm³
- VASP energy: -21.305 eV per formula unit

Material: K2GaI
Method: DFT, PBE-GGA
State: optimized geometry

a = 7.7779 Å, b = 7.7779 Å, c = 7.7779 Å
α = 104.77°, β = 104.77°, γ = 119.35°
Atoms (fractional coordinates):
K (0.1155, 0.1250, 0.4905)
K (0.3750, 0.8845, 0.0095)
K (0.6345, 0.6250, 0.5095)
K (0.8750, 0.3655, 0.9905)
Ga (0.2500, 0.7500, 0.5000)
Ga (0.5000, 0.5000, 0.0000)
I (0.0000, 0.0000, 0.0000)
I (0.7500, 0.2500, 0.5000)

Summary:
- Calculated volume: 44.251 A^3/atom
- Uncorrected formation energy: -1.41 eV per formula unit
- Symmetry: I-42d
- Density: 2.58 g/cm³
- VASP energy: -8.187 eV per formula unit